a) First-principles (PBE) data for a relaxed structure of Co2IrCl, as listed in Alexandria.

POSCAR file:
```
Co2IrCl
1.0
4.525 0.000 0.000
0.000 4.525 0.000
0.000 0.000 2.718
Co Ir Cl
2 1 1
Cartesian
0.000 2.262 0.000 Co
2.262 0.000 0.000 Co
0.000 0.000 1.359 Ir
2.262 2.262 1.359 Cl
```

=====

b) First-principles (PBE) data for a relaxed structure of Co2IrCl, as listed in Alexandria.

POSCAR file:
```
Co2IrCl
1.0
-2.882 2.882 4.007
2.882 -2.882 4.007
2.882 2.882 -4.007
Co Ir Cl
4 2 2
Cartesian
4.323 1.421 -1.002 Co
1.421 1.441 1.002 Co
-1.441 1.461 3.005 Co
1.461 1.441 5.008 Co
2.882 0.000 2.003 Ir
0.000 0.000 4.007 Ir
0.000 0.000 0.000 Cl
0.000 2.882 2.003 Cl
```

=====

Stability, lowest: b)

=====

a) First-principles (PBE) data for a relaxed structure of SrLa, as listed in Alexandria.

POSCAR file:
```
SrLa
1.0
0.000 4.452 4.452
4.452 0.000 4.452
4.452 4.452 0.000
Sr La
2 2
Cartesian
1.113 1.113 1.113 Sr
7.791 7.791 7.791 Sr
3.339 3.339 3.339 La
5.565 5.565 5.565 La
```

=====

b) First-principles (PBE) data for a relaxed structure of SrLa, as listed in Alexandria.

POSCAR file:
```
SrLa
1.0
6.366 0.000 0.000
-3.183 5.513 0.000
0.000 0.000 10.537
Sr La
4 4
Cartesian
0.000 0.000 2.634 Sr
0.000 0.000 7.903 Sr
0.000 3.675 2.634 Sr
3.183 1.838 7.903 Sr
0.000 3.675 6.226 La
0.000 3.675 9.580 La
3.183 1.838 0.958 La
3.183 1.838 4.311 La
```

=====

c) First-principles (PBE) data for a relaxed structure of SrLa, as listed in Alexandria.

POSCAR file:
```
SrLa
1.0
3.910 0.000 0.000
0.000 6.291 0.000
0.000 0.000 7.113
Sr La
2 2
Cartesian
0.978 1.573 0.672 Sr
2.933 4.718 6.441 Sr
0.978 4.718 3.025 La
2.933 1.573 4.088 La
```

=====

Stability, lowest: b)

=====

a) First-principles (PBE) data for a relaxed structure of I, as listed in Alexandria.

POSCAR file:
```
I
1.0
4.870 0.000 0.000
1.764 6.326 0.000
0.963 0.481 6.980
I
4
Cartesian
1.334 2.667 1.240 I
2.454 1.409 4.129 I
5.143 5.399 2.850 I
6.263 4.140 5.740 I
```

=====

b) First-principles (PBE) data for a relaxed structure of I, as listed in Alexandria.

POSCAR file:
```
I
1.0
4.754 0.000 0.000
-2.377 4.117 0.000
0.000 0.000 10.801
I
4
Cartesian
0.000 2.745 1.333 I
0.000 2.745 4.068 I
2.377 1.372 6.734 I
2.377 1.372 9.468 I
```

=====

Stability, lowest: b)